Record 1
Compound: Cs2ThAs2O8
Source: the Alexandria database
Functional: GGA-PBEsol
Structure: optimized geometry

The space group is I4_1/amd (No. 141, origin choice 2) and the conventional cell measures 7.3379, 7.3379 and 18.6081 Å, with angles of 90.00, 90.00 and 90.00 degrees. The distinct sites, in fractional coordinates, are Cs at (0.0000, 0.0000, 0.0000), Th at (0.0000, 0.2500, 0.3750), As at (0.0000, 0.2500, 0.2003), O at (0.0000, 0.0642, 0.6052) and O at (0.0000, 0.0701, 0.2587).

=====

Record 2
Compound: CsAs3Os
Source: the Alexandria database
Functional: GGA-PBEsol
Structure: optimized geometry

As for the energy of formation from the pure elements: 15.1 eV per formula unit.

The space group is Pm-3m (No. 221) and the conventional cell measures 5.3657, 5.3657 and 5.3657 Å, with angles of 90.00, 90.00 and 90.00 degrees. The distinct sites, in fractional coordinates, are Cs at (0.0000, 0.0000, 0.0000), As at (0.0000, 0.0000, 0.5000) and Os at (0.5000, 0.5000, 0.5000).

=====

Record 3
Compound: Cs3AsOs
Source: the Alexandria database
Functional: GGA-PBEsol
Structure: optimized geometry

As for the energy of formation from the pure elements: 5.9 eV per formula unit.

The space group is Pm-3m (No. 221) and the conventional cell measures 5.7249, 5.7249 and 5.7249 Å, with angles of 90.00, 90.00 and 90.00 degrees. The distinct sites, in fractional coordinates, are Cs at (0.0000, 0.0000, 0.5000), As at (0.5000, 0.5000, 0.5000) and Os at (0.0000, 0.0000, 0.0000).

=====

Record 4
Compound: CsAs3P
Source: the Alexandria database
Functional: GGA-PBEsol
Structure: optimized geometry

As for the energy of formation from the pure elements: 11.4 eV per formula unit.

The space group is Pm-3m (No. 221) and the conventional cell measures 5.5136, 5.5136 and 5.5136 Å, with angles of 90.00, 90.00 and 90.00 degrees. The distinct sites, in fractional coordinates, are Cs at (0.0000, 0.0000, 0.0000), As at (0.0000, 0.0000, 0.5000) and P at (0.5000, 0.5000, 0.5000).

=====

Number 1: E_tot -357.95 eV per cell, M_tot 0.00 μB/f.u.. Number 2: E_tot -13.35 eV per cell, M_tot 3.05 μB/f.u.. Number 3: E_tot -14.30 eV per cell, M_tot 1.53 μB/f.u.. Number 4: E_tot -10.67 eV per cell, M_tot 0.53 μB/f.u..